1.
Compound: CaLaCr2
Source: Alexandria
Functional: GGA-PBE
Structure: optimized geometry

Results
Energy in eV per cell: -23.7
Density of states at the Fermi level in states/eV per cell: 5.1
Symmetry: Fm-3m (225)
Energy above the most stable polymorph in this dataset in meV/atom: 214

Structure (CIF):
```
data_CaLaCr2
_chemical_formula_sum 'Ca1 La1 Cr2'
_space_group_name_H-M_alt 'P 1'
_space_group_IT_number 1
_cell_length_a 5.293
_cell_length_b 5.293
_cell_length_c 5.293
_cell_angle_alpha 60.00
_cell_angle_beta 60.00
_cell_angle_gamma 60.00
loop_
_space_group_symop_operation_xyz
'x,y,z'
loop_
_atom_site_label
_atom_site_type_symbol
_atom_site_fract_x
_atom_site_fract_y
_atom_site_fract_z
Cr1 Cr 0.750 0.750 0.750
Cr2 Cr 0.250 0.250 0.250
La1 La 0.500 0.500 0.500
Ca1 Ca 0.000 0.000 0.000
```


2.
Compound: CaLaCr2
Source: Alexandria
Functional: GGA-PBE
Structure: optimized geometry

Results
Energy in eV per cell: -24.6
Density of states at the Fermi level in states/eV per cell: 4.4
Symmetry: Pm (6)
Energy above the most stable polymorph in this dataset in meV/atom: 0

Structure (CIF):
```
data_CaLaCr2
_chemical_formula_sum 'Ca1 La1 Cr2'
_space_group_name_H-M_alt 'P 1'
_space_group_IT_number 1
_cell_length_a 3.291
_cell_length_b 3.291
_cell_length_c 9.479
_cell_angle_alpha 69.56
_cell_angle_beta 90.00
_cell_angle_gamma 90.00
loop_
_space_group_symop_operation_xyz
'x,y,z'
loop_
_atom_site_label
_atom_site_type_symbol
_atom_site_fract_x
_atom_site_fract_y
_atom_site_fract_z
Ca1 Ca 0.500 0.689 0.814
Cr1 Cr 0.000 0.928 0.073
Cr2 Cr 0.500 0.324 0.175
La1 La 0.000 0.559 0.439
```


3.
Compound: Ca2LaCr2
Source: Alexandria
Functional: GGA-PBE
Structure: optimized geometry

Results
Energy in eV per cell: -25.1
Density of states at the Fermi level in states/eV per cell: 9.4
Symmetry: I4/mmm (139)
Energy above the most stable polymorph in this dataset in meV/atom: 0

Structure (CIF):
```
data_Ca2LaCr2
_chemical_formula_sum 'Ca2 La1 Cr2'
_space_group_name_H-M_alt 'P 1'
_space_group_IT_number 1
_cell_length_a 3.299
_cell_length_b 3.299
_cell_length_c 12.201
_cell_angle_alpha 82.23
_cell_angle_beta 82.23
_cell_angle_gamma 90.00
loop_
_space_group_symop_operation_xyz
'x,y,z'
loop_
_atom_site_label
_atom_site_type_symbol
_atom_site_fract_x
_atom_site_fract_y
_atom_site_fract_z
Ca1 Ca 0.636 0.636 0.728
Ca2 Ca 0.364 0.364 0.272
La1 La 0.000 0.000 0.000
Cr1 Cr 0.750 0.250 0.500
Cr2 Cr 0.250 0.750 0.500
```


4.
Compound: Ca3LaCr
Source: Alexandria
Functional: GGA-PBE
Structure: optimized geometry

Results
Energy in eV per cell: -11.7
Density of states at the Fermi level in states/eV per cell: 10.2
Symmetry: Pm-3m (221)
Energy above the most stable polymorph in this dataset in meV/atom: 1242

Structure (CIF):
```
data_Ca3LaCr
_chemical_formula_sum 'Ca3 La1 Cr1'
_space_group_name_H-M_alt 'P 1'
_space_group_IT_number 1
_cell_length_a 5.724
_cell_length_b 5.724
_cell_length_c 5.724
_cell_angle_alpha 90.00
_cell_angle_beta 90.00
_cell_angle_gamma 90.00
loop_
_space_group_symop_operation_xyz
'x,y,z'
loop_
_atom_site_label
_atom_site_type_symbol
_atom_site_fract_x
_atom_site_fract_y
_atom_site_fract_z
Ca1 Ca 0.500 0.000 0.000
Ca2 Ca 0.000 0.500 0.000
Ca3 Ca 0.000 0.000 0.500
Cr1 Cr 0.500 0.500 0.500
La1 La 0.000 0.000 0.000
```


5.
Compound: Ca2LaCr
Source: Alexandria
Functional: GGA-PBE
Structure: optimized geometry

Results
Energy in eV per cell: -17.0
Density of states at the Fermi level in states/eV per cell: 3.9
Symmetry: F-43m (216)
Energy above the most stable polymorph in this dataset in meV/atom: 95

Structure (CIF):
```
data_Ca2LaCr
_chemical_formula_sum 'Ca2 La1 Cr1'
_space_group_name_H-M_alt 'P 1'
_space_group_IT_number 1
_cell_length_a 5.644
_cell_length_b 5.644
_cell_length_c 5.644
_cell_angle_alpha 60.00
_cell_angle_beta 60.00
_cell_angle_gamma 60.00
loop_
_space_group_symop_operation_xyz
'x,y,z'
loop_
_atom_site_label
_atom_site_type_symbol
_atom_site_fract_x
_atom_site_fract_y
_atom_site_fract_z
Ca1 Ca 0.250 0.250 0.250
Ca2 Ca 0.000 0.000 0.000
Cr1 Cr 0.500 0.500 0.500
La1 La 0.750 0.750 0.750
```


6.
Compound: CaLaCr2
Source: Alexandria
Functional: GGA-PBE
Structure: optimized geometry

Results
Energy in eV per cell: -24.0
Density of states at the Fermi level in states/eV per cell: 2.7
Symmetry: I-4m2 (119)
Energy above the most stable polymorph in this dataset in meV/atom: 147

Structure (CIF):
```
data_CaLaCr2
_chemical_formula_sum 'Ca1 La1 Cr2'
_space_group_name_H-M_alt 'P 1'
_space_group_IT_number 1
_cell_length_a 5.167
_cell_length_b 5.167
_cell_length_c 5.167
_cell_angle_alpha 120.11
_cell_angle_beta 120.11
_cell_angle_gamma 89.81
loop_
_space_group_symop_operation_xyz
'x,y,z'
loop_
_atom_site_label
_atom_site_type_symbol
_atom_site_fract_x
_atom_site_fract_y
_atom_site_fract_z
Cr1 Cr 0.000 0.000 0.000
Cr2 Cr 0.250 0.750 0.500
Ca1 Ca 0.750 0.250 0.500
La1 La 0.500 0.500 0.000
```


What is the energy above the most stable polymorph in this dataset in the second record? 0 meV/atom


What is the density of states at the Fermi level in the first record? 5.1 states/eV per cell